TiFe2O, relaxed, DFT GGA+U; symmetry = No. 122; Fermi-level density of states = 0.3747 states/eV per atom; crystal system = tetragonal; total magnetic moment = 10.0 μB/cell; total energy = -5.968 eV/atom
1.0
-2.9418 2.9418 3.9220
2.9418 -2.9418 3.9220
2.9418 2.9418 -3.9220
Ti Fe O
2 4 2
Cartesian
0.0000 0.0000 0.0000 Ti
0.0000 2.9418 1.9610 Ti
1.4709 2.0989 -0.9805 Fe
3.7846 1.4709 0.9805 Fe
1.4709 0.8428 2.9415 Fe
-0.8428 1.4709 4.9024 Fe
2.9418 0.0000 1.9610 O
0.0000 0.0000 3.9220 O